1.
6
Lattice="0.000 3.193 3.193 3.193 0.000 3.193 3.193 3.193 0.000" Properties=species:S:1:pos:R:3 comment="Be4MoAu | the Alexandria database | GGA-PBE | optimized geometry" crystal_system=cubic sg=F-43m formation_enthalpy_0k_ev_per_atom=0.023 pbc="T T T"
Be 0.770 0.770 0.770
Be 2.423 2.423 0.770
Be 2.423 0.770 2.423
Be 0.770 2.423 2.423
Mo 4.790 4.790 4.790
Au 3.193 3.193 3.193


2.
4
Lattice="4.670 0.000 0.000 0.000 4.670 0.000 0.000 0.000 4.608" Properties=species:S:1:pos:R:3 comment="TbHfSc2 | the Alexandria database | GGA-PBE | optimized geometry" e_above_lowest_polymorph_mev_per_atom=63 crystal_system=tetragonal sg=P4/mmm formation_enthalpy_0k_ev_per_atom=0.112 pbc="T T T"
Tb 0.000 0.000 0.000
Hf 2.335 2.335 0.000
Sc 0.000 2.335 2.304
Sc 2.335 0.000 2.304


3.
14
Lattice="7.972 0.000 0.000 0.000 6.565 0.000 -3.154 0.000 7.387" Properties=species:S:1:pos:R:3 comment="PmSm4Ir2 | the Alexandria database | GGA-PBE | optimized geometry" e_above_lowest_polymorph_mev_per_atom=0 crystal_system=monoclinic sg=P2_1/m formation_enthalpy_0k_ev_per_atom=-0.429 pbc="T T T"
Pm 1.132 1.641 0.202
Pm 3.686 4.923 7.185
Sm -1.091 1.641 2.795
Sm 0.932 4.923 2.494
Sm 0.894 0.028 5.626
Sm 0.894 3.254 5.626
Sm 3.924 3.310 1.761
Sm 3.924 6.537 1.761
Sm 3.886 1.641 4.893
Sm 5.909 4.923 4.592
Ir -1.079 4.923 7.310
Ir 1.673 1.641 2.999
Ir 3.145 4.923 4.387
Ir 5.897 1.641 0.077


4.
11
Lattice="11.003 0.000 0.000 -5.501 9.529 0.000 0.000 0.000 3.550" Properties=species:S:1:pos:R:3 comment="PmSm6Tm4 | the Alexandria database | GGA-PBE | optimized geometry" e_above_lowest_polymorph_mev_per_atom=0 crystal_system=hexagonal sg=P-6m2 formation_enthalpy_0k_ev_per_atom=0.156 pbc="T T T"
Pm 0.000 0.000 0.000
Sm -2.414 4.959 0.000
Sm 3.013 1.740 1.775
Sm 2.414 4.959 0.000
Sm 0.000 9.140 0.000
Sm 7.990 1.740 1.775
Sm 5.501 6.050 1.775
Tm 0.000 3.091 1.775
Tm -2.824 7.983 1.775
Tm 5.501 3.176 0.000
Tm 2.824 7.983 1.775


5.
4
Lattice="4.487 -1.412 0.000 4.487 1.412 0.000 -0.191 0.000 4.503" Properties=species:S:1:pos:R:3 comment="PRu2W | the Alexandria database | GGA-PBE | optimized geometry" crystal_system=monoclinic sg=C2/m formation_enthalpy_0k_ev_per_atom=0.058 pbc="T T T"
P 0.000 0.000 0.000
Ru 1.947 0.000 3.374
Ru 6.836 0.000 1.129
W 4.392 0.000 2.251


6.
7
Lattice="3.625 0.000 0.000 -1.812 3.139 0.000 0.000 0.000 14.125" Properties=species:S:1:pos:R:3 comment="UTi2S4 | the Alexandria database | GGA-PBE | optimized geometry" crystal_system=trigonal sg=P3m1 formation_energy_uncorrected_kj_per_mol_atoms=-100 pbc="T T T"
U 0.000 0.000 0.000
Ti 0.000 2.093 6.299
Ti 1.812 1.046 10.008
S 0.000 0.000 5.272
S 0.000 0.000 11.397
S 0.000 2.093 1.605
S 0.000 2.093 8.661


7.
4
Lattice="3.558 0.000 0.000 0.000 3.558 0.000 0.000 0.000 7.208" Properties=species:S:1:pos:R:3 comment="Lu2TeIr | the Alexandria database | GGA-PBE | optimized geometry" e_above_lowest_polymorph_mev_per_atom=108 crystal_system=tetragonal sg=P4/mmm formation_energy_uncorrected_kj_per_mol_atoms=-86 pbc="T T T"
Lu 0.000 0.000 1.583
Lu 0.000 0.000 5.624
Te 1.779 1.779 3.604
Ir 1.779 1.779 0.000


no.,total moment (μB per atom)
1,0.000
2,0.000
3,0.000
4,0.000
5,0.000
6,0.602
7,0.000